Fe5Pb, optimized geometry, DFT GGA-PBE; energy above the most stable polymorph in this dataset = 0 meV/atom; E_tot = -0.272 Ha/atom; M_tot = 11.93 μB/cell; DFT formation energy = 0.28 eV/atom
1.0
2.104 -4.614 0.000
2.104 4.614 0.000
0.000 0.000 4.203
Fe Pb
5 1
direct
0.000 0.000 0.000
0.179 0.821 0.500
0.319 0.681 0.000
0.681 0.319 0.000
0.821 0.179 0.500
0.500 0.500 0.500